A plane-wave DFT calculation with PBE was carried out for crystalline Mn2PW at its relaxed geometry. Values from VASP.

Structure (Quantum ESPRESSO input):
```
&SYSTEM
  ibrav = 0, nat = 4, ntyp = 3
/
ATOMIC_SPECIES
Mn 54.94 Mn.upf
P 30.97 P.upf
W 183.84 W.upf
ATOMIC_POSITIONS crystal
Mn 0.0000 0.0000 0.0000
Mn 0.5000 0.5000 0.0000
P 0.5000 0.0000 0.5000
W 0.0000 0.5000 0.5000
CELL_PARAMETERS angstrom
4.3871 -0.0057 0.0000
-1.4733 4.1323 0.0000
0.0000 0.0000 2.8711
```

Output
VASP energy: -9.109 eV/atom
symmetry: Cmmm
volume: 52 Å³/cell
total magnetic moment: 3.49 μB per formula unit
DFT formation energy: 0.067 eV per atom